No. 1
Entry from Alexandria: crystalline UTiPN at its relaxed geometry (PBE-GGA).

Calculated values
* energy relative to the elements, uncorrected: -1192 meV/atom
* E: -9.4211 eV per atom

Cell: 3.8262 3.8262 8.5383 Å, 90.00 90.00 90.00°
Fractional coordinates of all 8 atoms:
U (0.5000, 0.0000, 0.1385)
U (0.0000, 0.5000, 0.8615)
P (0.0000, 0.5000, 0.3081)
P (0.5000, 0.0000, 0.6919)
N (0.5000, 0.5000, 0.0000)
N (0.0000, 0.0000, 0.0000)
Ti (0.0000, 0.0000, 0.5000)
Ti (0.5000, 0.5000, 0.5000)

No. 2
Entry from Alexandria: crystalline Mg2FeSe at its relaxed geometry (PBE-GGA).

Calculated values
* energy relative to the elements, uncorrected: -12 meV/atom
* E: -3.7964 eV per atom

Cell: 8.6884 8.6884 8.6884 Å, 21.34 21.34 21.34°
Fractional coordinates of all 4 atoms:
Se (0.4850, 0.4850, 0.4850)
Mg (0.2421, 0.2421, 0.2421)
Mg (0.0127, 0.0127, 0.0127)
Fe (0.7603, 0.7603, 0.7603)

No. 3
Entry from Alexandria: crystalline Ba4Sn2Bi at its relaxed geometry (PBE-GGA).

Calculated values
* formation enthalpy at 0 K: -0.420 eV per atom
* E: -3.2170 eV per atom

Cell: 6.7930 6.7930 9.5296 Å, 69.12 69.12 90.00°
Fractional coordinates of all 7 atoms:
Ba (0.7971, 0.7971, 0.4058)
Ba (0.0000, 0.5000, 0.0000)
Ba (0.2029, 0.2029, 0.5942)
Ba (0.5000, 0.0000, 0.0000)
Bi (0.0000, 0.0000, 0.0000)
Sn (0.5915, 0.5915, 0.8169)
Sn (0.4085, 0.4085, 0.1831)

No. 4
Entry from Alexandria: crystalline SrGd2Th at its relaxed geometry (PBE-GGA).

Calculated values
* E above lowest polymorph: 93 meV/atom
* formation enthalpy at 0 K: 0.177 eV per atom
* E: -9.1389 eV per atom

Cell: 3.6368 3.6368 12.8846 Å, 81.89 81.89 60.00°
Fractional coordinates of all 4 atoms:
Gd (0.0938, 0.0938, 0.7186)
Gd (0.9062, 0.9062, 0.2814)
Th (0.5000, 0.5000, 0.5000)
Sr (0.0000, 0.0000, 0.0000)

No. 5
Entry from Alexandria: crystalline Nd4Tl2Sn at its relaxed geometry (PBE-GGA).

Calculated values
* E above lowest polymorph: 111 meV/atom
* formation enthalpy at 0 K: -0.322 eV per atom
* E: -4.2946 eV per atom

Cell: 5.4464 5.4464 9.4330 Å, 73.22 73.22 60.00°
Fractional coordinates of all 7 atoms:
Nd (0.3773, 0.3773, 0.8682)
Nd (0.8761, 0.8761, 0.3717)
Nd (0.6227, 0.6227, 0.1318)
Nd (0.1239, 0.1239, 0.6283)
Tl (0.7563, 0.7563, 0.7310)
Tl (0.2437, 0.2437, 0.2690)
Sn (0.0000, 0.0000, 0.0000)

No. 6
Entry from Alexandria: crystalline NaPmZnGe at its relaxed geometry (PBE-GGA).

Calculated values
* formation enthalpy at 0 K: -0.305 eV per atom
* E: -3.2956 eV per atom

Cell: 5.0526 5.0526 5.0526 Å, 60.00 60.00 60.00°
Fractional coordinates of all 4 atoms:
Pm (0.0000, 0.0000, 0.0000)
Na (0.5000, 0.5000, 0.5000)
Ge (0.2500, 0.2500, 0.2500)
Zn (0.7500, 0.7500, 0.7500)

No. 7
Entry from Alexandria: crystalline BiSbAu at its relaxed geometry (PBE-GGA).

Calculated values
* energy relative to the elements, uncorrected: -45 meV/atom
* E above lowest polymorph: 0 meV/atom
* E: -3.8052 eV per atom

Cell: 6.9150 6.9150 6.9150 Å, 90.00 90.00 90.00°
Fractional coordinates of all 12 atoms:
Au (0.9885, 0.5115, 0.4885)
Au (0.5115, 0.4885, 0.9885)
Au (0.4885, 0.9885, 0.5115)
Au (0.0115, 0.0115, 0.0115)
Bi (0.1305, 0.6305, 0.8695)
Bi (0.6305, 0.8695, 0.1305)
Bi (0.8695, 0.1305, 0.6305)
Bi (0.3695, 0.3695, 0.3695)
Sb (0.8789, 0.3789, 0.1211)
Sb (0.1211, 0.8789, 0.3789)
Sb (0.3789, 0.1211, 0.8789)
Sb (0.6211, 0.6211, 0.6211)

No. 8
Entry from Alexandria: crystalline Ti7GaGe3 at its relaxed geometry (PBE-GGA).

Calculated values
* formation enthalpy at 0 K: -0.242 eV per atom
* E: -6.8004 eV per atom

Cell: 4.8769 6.7354 6.7354 Å, 91.10 111.23 111.23°
Fractional coordinates of all 11 atoms:
Ti (0.3309, 0.5941, 0.0677)
Ti (0.3309, 0.0677, 0.5941)
Ti (0.6691, 0.4059, 0.9323)
Ti (0.8246, 0.8246, 0.8246)
Ti (0.0000, 0.5000, 0.5000)
Ti (0.6691, 0.9323, 0.4059)
Ti (0.1754, 0.1754, 0.1754)
Ge (0.0000, 0.7681, 0.2319)
Ge (0.5000, 0.0000, 0.0000)
Ge (0.0000, 0.2319, 0.7681)
Ga (0.5000, 0.5000, 0.5000)

No. 9
Entry from Alexandria: crystalline TbY3In2 at its relaxed geometry (PBE-GGA).

Calculated values
* E above lowest polymorph: 0 meV/atom
* formation enthalpy at 0 K: -0.386 eV per atom
* E: -5.3027 eV per atom

Cell: 5.2127 6.7427 9.8118 Å, 90.00 90.00 90.00°
Fractional coordinates of all 12 atoms:
Y (0.0000, 0.4684, 0.9624)
Y (0.5000, 0.6878, 0.1803)
Y (0.0000, 0.9684, 0.0376)
Y (0.0000, 0.3116, 0.3197)
Y (0.0000, 0.8116, 0.6803)
Y (0.5000, 0.1878, 0.8197)
In (0.0000, 0.7867, 0.3565)
In (0.5000, 0.7133, 0.8573)
In (0.5000, 0.2133, 0.1427)
In (0.0000, 0.2867, 0.6435)
Tb (0.5000, 0.0321, 0.4632)
Tb (0.5000, 0.5321, 0.5368)

No. 10
Entry from Alexandria: crystalline MnTcCl2 at its relaxed geometry (PBE-GGA).

Calculated values
* energy relative to the elements, uncorrected: -64 meV/atom
* E above lowest polymorph: 133 meV/atom
* E: -5.8713 eV per atom

Cell: 3.6658 3.6658 7.4583 Å, 88.99 88.99 60.11°
Fractional coordinates of all 4 atoms:
Cl (0.1310, 0.1310, 0.1108)
Cl (0.7851, 0.7851, 0.6519)
Tc (0.1233, 0.1233, 0.4411)
Mn (0.4606, 0.4606, 0.2962)

No. 11
Entry from Alexandria: crystalline Rb3Dy2HfTe6 at its relaxed geometry (PBE-GGA).

Calculated values
* energy relative to the elements, uncorrected: -1189 meV/atom
* E: -4.5980 eV per atom

Cell: 7.6318 7.6318 8.9559 Å, 98.18 98.18 120.01°
Fractional coordinates of all 12 atoms:
Rb (0.5000, 0.5000, 0.5000)
Rb (0.1718, 0.8282, 0.5000)
Rb (0.8282, 0.1718, 0.5000)
Te (0.7485, 0.7485, 0.1987)
Te (0.2515, 0.2515, 0.8013)
Te (0.3840, 0.0654, 0.1968)
Te (0.9346, 0.6160, 0.8032)
Te (0.0654, 0.3840, 0.1968)
Te (0.6160, 0.9346, 0.8032)
Hf (0.0000, 0.0000, 0.0000)
Dy (0.6659, 0.3341, 0.0000)
Dy (0.3341, 0.6659, 0.0000)

No. 12
Entry from Alexandria: crystalline B2C at its relaxed geometry (PBE-GGA).

Calculated values
* E above lowest polymorph: 302 meV/atom
* formation enthalpy at 0 K: 0.487 eV per atom
* E: -7.0394 eV per atom

Cell: 7.1043 7.1043 4.9241 Å, 74.10 74.10 21.26°
Fractional coordinates of all 12 atoms:
B (0.2240, 0.2240, 0.6411)
B (0.4378, 0.4378, 0.1184)
B (0.7760, 0.7760, 0.3589)
B (0.6079, 0.6079, 0.2092)
B (0.0631, 0.0631, 0.4775)
B (0.9369, 0.9369, 0.5225)
B (0.3921, 0.3921, 0.7908)
B (0.5622, 0.5622, 0.8816)
C (0.1078, 0.1078, 0.7292)
C (0.2706, 0.2706, 0.9155)
C (0.7294, 0.7294, 0.0845)
C (0.8922, 0.8922, 0.2708)

No. 13
Entry from Alexandria: crystalline V3CdI at its relaxed geometry (PBE-GGA).

Calculated values
* energy relative to the elements, uncorrected: 1431 meV/atom
* E above lowest polymorph: 0 meV/atom
* E: -4.5328 eV per atom

Cell: 4.8798 4.8798 4.8798 Å, 90.00 90.00 90.00°
Fractional coordinates of all 5 atoms:
V (0.0000, 0.5000, 0.0000)
V (0.0000, 0.0000, 0.5000)
V (0.5000, 0.0000, 0.0000)
Cd (0.5000, 0.5000, 0.5000)
I (0.0000, 0.0000, 0.0000)